# CdAg2GeS4

CdAg2GeS4 at its PBEsol-relaxed geometry (SCAN, Alexandria).

abc: 13.6991 7.9057 6.5616
angles: 90.00 90.00 90.00
Atoms (fractional coordinates):
Cd (0.1592, 0.0106, 0.0000)
Cd (0.3408, 0.5105, 0.5000)
Cd (0.6592, 0.4894, 0.0000)
Cd (0.8408, 0.9894, 0.5000)
Ag (0.0755, 0.2538, 0.5078)
Ag (0.1622, 0.4993, 0.9913)
Ag (0.3378, 0.9993, 0.4913)
Ag (0.4245, 0.7538, 0.0078)
Ag (0.5755, 0.2462, 0.5078)
Ag (0.6622, 0.0007, 0.9913)
Ag (0.8378, 0.5007, 0.4913)
Ag (0.9245, 0.7462, 0.0078)
Ge (0.0892, 0.7550, 0.5060)
Ge (0.4108, 0.2550, 0.0060)
Ge (0.5892, 0.7450, 0.5060)
Ge (0.9108, 0.2450, 0.0060)
S (0.0629, 0.2597, 0.1273)
S (0.0903, 0.7500, 0.1662)
S (0.1639, 0.5196, 0.6158)
S (0.1651, 0.9887, 0.6150)
S (0.3349, 0.4887, 0.1150)
S (0.3361, 0.0196, 0.1158)
S (0.4097, 0.2500, 0.6662)
S (0.4371, 0.7597, 0.6273)
S (0.5629, 0.2403, 0.1273)
S (0.5903, 0.7500, 0.1662)
S (0.6639, 0.9804, 0.6158)
S (0.6651, 0.5113, 0.6150)
S (0.8349, 0.0113, 0.1150)
S (0.8361, 0.4804, 0.1158)
S (0.9097, 0.2500, 0.6662)
S (0.9371, 0.7403, 0.6273)

uncorrected formation energy: -412.3 meV/atom
calculated density: 4.94 g/cm³
symmetry: Pna2_1
relative energy among the computed polymorphs: 0.000 eV/atom
total energy: -616.19 eV for the cell shown